(1)
Computed, not measured: an optimized crystal structure of CeCd2 at the GGA-PBE level of DFT.

Calculated values
**DOS at the Fermi energy**: 5.8 states/eV/cell
**Density**: 8.28 g cm⁻³
**DFT formation energy**: -0.148 eV per atom
**SG**: I4/mmm, No. 139

Unit cell a=3.2724 b=3.2724 c=7.2166 alpha=103.10 beta=103.10 gamma=90.00
Last column: magnetic moment on the atom in μB.
Element x y z (fractional)
1 Cd 0.3236 0.3236 0.6473  0.00
2 Cd 0.6764 0.6764 0.3527  0.00
3 Ce 0.0000 0.0000 0.0000  0.60

(2)
Computed, not measured: an optimized crystal structure of KMg2IBr at the GGA-PBE level of DFT.

Calculated values
**DOS at the Fermi energy**: 4.8 states/eV/cell
**Density**: 1.89 g cm⁻³
**SG**: P4/mmm, No. 123
**Raw formation energy**: -179 meV/atom

Unit cell a=5.7002 b=7.9799 c=5.7002 alpha=90.00 beta=90.00 gamma=90.00
Element x y z (fractional)
1 Mg 0.5000 0.0000 0.0000
2 Mg 0.0000 0.0000 0.5000
3 I 0.0000 0.0000 0.0000
4 Br 0.0000 0.5000 0.0000
5 K 0.5000 0.5000 0.5000

(3)
Computed, not measured: an optimized crystal structure of LiLaAl at the GGA-PBE level of DFT.

Calculated values
**DOS at the Fermi energy**: 1.7 states/eV/cell
**Density**: 3.92 g cm⁻³
**DFT formation energy**: -0.196 eV per atom
**SG**: P3m1, No. 156
**Energy above the most stable polymorph in this dataset**: 0.040 eV per atom

Unit cell a=5.0402 b=5.0402 c=3.3238 alpha=90.00 beta=90.00 gamma=120.00
Last column: magnetic moment on the atom in μB.
Element x y z (fractional)
1 La 0.6667 0.3333 0.3330  0.10
2 Al 0.0000 0.0000 0.8322  0.00
3 Li 0.3333 0.6667 0.8348  0.00

(4)
Computed, not measured: an optimized crystal structure of TiTl2GaPt at the GGA-PBE level of DFT.

Calculated values
**DOS at the Fermi energy**: 4.2 states/eV/cell
**Density**: 8.71 g cm⁻³
**DFT formation energy**: 0.897 eV per atom
**SG**: P4/mmm, No. 123

Unit cell a=5.2872 b=4.9187 c=5.2872 alpha=90.00 beta=90.00 gamma=90.00
Element x y z (fractional)
1 Tl 0.5000 0.0000 0.0000
2 Tl 0.0000 0.0000 0.5000
3 Pt 0.5000 0.5000 0.5000
4 Ga 0.0000 0.5000 0.0000
5 Ti 0.0000 0.0000 0.0000

(5)
Computed, not measured: an optimized crystal structure of MgSb2Pd at the GGA-PBE level of DFT.

Calculated values
**DOS at the Fermi energy**: 0.8 states/eV/cell
**Density**: 6.35 g cm⁻³
**SG**: I-42d, No. 122
**Raw formation energy**: -228 meV/atom

Unit cell a=4.6755 b=4.6755 c=9.5510 alpha=75.83 beta=75.83 gamma=90.00
Element x y z (fractional)
1 Sb 0.8750 0.9146 0.7500
2 Sb 0.0854 0.6250 0.2500
3 Sb 0.6646 0.1250 0.2500
4 Sb 0.3750 0.3354 0.7500
5 Pd 0.0000 0.0000 0.0000
6 Pd 0.7500 0.2500 0.5000
7 Mg 0.5000 0.5000 0.0000
8 Mg 0.2500 0.7500 0.5000

(6)
Computed, not measured: an optimized crystal structure of Tm2ZrSc3 at the GGA-PBE level of DFT.

Calculated values
**DOS at the Fermi energy**: 18.2 states/eV/cell
**Density**: 6.05 g cm⁻³
**DFT formation energy**: 0.055 eV per atom
**SG**: C2/m, No. 12
**Energy above the most stable polymorph in this dataset**: 0.015 eV per atom

Unit cell a=5.7583 b=5.7580 c=10.9574 alpha=84.98 beta=79.92 gamma=60.00
Element x y z (fractional)
1 Tm 0.0000 0.0000 0.0000
2 Tm 0.1668 0.6663 0.5000
3 Tm 0.5000 0.0000 0.5000
4 Tm 0.8332 0.3337 0.5000
5 Sc 0.5775 0.3421 0.2406
6 Sc 0.0803 0.3421 0.7594
7 Sc 0.4225 0.6579 0.7594
8 Sc 0.2619 0.0000 0.2411
9 Sc 0.7381 0.0000 0.7589
10 Sc 0.9197 0.6579 0.2406
11 Zr 0.3332 0.3336 0.0000
12 Zr 0.6668 0.6664 0.0000

(7)
Computed, not measured: an optimized crystal structure of ErThIrOs at the GGA-PBE level of DFT.

Calculated values
**DOS at the Fermi energy**: 2.3 states/eV/cell
**Density**: 15.27 g cm⁻³
**DFT formation energy**: -0.501 eV per atom
**SG**: F-43m, No. 216

Unit cell a=4.9353 b=4.9353 c=4.9353 alpha=60.00 beta=60.00 gamma=60.00
Element x y z (fractional)
1 Th 0.7500 0.7500 0.7500
2 Er 0.2500 0.2500 0.2500
3 Os 0.5000 0.5000 0.5000
4 Ir 0.0000 0.0000 0.0000

(8)
Computed, not measured: an optimized crystal structure of Ba2InGa4Au3 at the GGA-PBE level of DFT.

Calculated values
**DOS at the Fermi energy**: 6.3 states/eV/cell
**Density**: 8.65 g cm⁻³
**DFT formation energy**: -0.535 eV per atom
**SG**: P-4m2, No. 115

Unit cell a=4.6682 b=4.6682 c=11.0868 alpha=90.00 beta=90.00 gamma=90.00
Element x y z (fractional)
1 Au 0.5000 0.0000 0.8802
2 Au 0.0000 0.5000 0.1198
3 Au 0.0000 0.0000 0.5000
4 In 0.5000 0.5000 0.5000
5 Ba 0.5000 0.0000 0.2436
6 Ba 0.0000 0.5000 0.7564
7 Ga 0.0000 0.0000 0.0000
8 Ga 0.5000 0.5000 0.0000
9 Ga 0.5000 0.0000 0.6408
10 Ga 0.0000 0.5000 0.3592

(9)
Computed, not measured: an optimized crystal structure of DyErCdOs at the GGA-PBE level of DFT.

Calculated values
**DOS at the Fermi energy**: 3.2 states/eV/cell
**Density**: 11.94 g cm⁻³
**DFT formation energy**: -0.230 eV per atom
**SG**: F-43m, No. 216
**Energy above the most stable polymorph in this dataset**: 0.099 eV per atom

Unit cell a=4.9921 b=4.9921 c=4.9921 alpha=60.00 beta=60.00 gamma=60.00
Element x y z (fractional)
1 Cd 0.7500 0.7500 0.7500
2 Os 0.2500 0.2500 0.2500
3 Er 0.5000 0.5000 0.5000
4 Dy 0.0000 0.0000 0.0000

(10)
Computed, not measured: an optimized crystal structure of DyErLu2 at the GGA-PBE level of DFT.

Calculated values
**DOS at the Fermi energy**: 5.5 states/eV/cell
**Density**: 9.43 g cm⁻³
**DFT formation energy**: 0.030 eV per atom
**SG**: P4/mmm, No. 123
**Energy above the most stable polymorph in this dataset**: 0.000 eV per atom

Unit cell a=3.4851 b=3.4851 c=9.8512 alpha=90.00 beta=90.00 gamma=90.00
Element x y z (fractional)
1 Lu 0.0000 0.0000 0.2490
2 Lu 0.0000 0.0000 0.7510
3 Er 0.5000 0.5000 0.0000
4 Dy 0.5000 0.5000 0.5000

(11)
Computed, not measured: an optimized crystal structure of Mg2HgH at the GGA-PBE level of DFT.

Calculated values
**DOS at the Fermi energy**: 1.7 states/eV/cell
**Density**: 5.49 g cm⁻³
**SG**: I-42d, No. 122
**Energy above the most stable polymorph in this dataset**: 0.079 eV per atom

Unit cell a=5.5002 b=5.5002 c=6.3404 alpha=64.29 beta=64.29 gamma=90.00
Element x y z (fractional)
1 Mg 0.4927 0.1250 0.2500
2 Mg 0.2573 0.6250 0.2500
3 Mg 0.3750 0.5073 0.7500
4 Mg 0.8750 0.7427 0.7500
5 Hg 0.0000 0.0000 0.0000
6 Hg 0.7500 0.2500 0.5000
7 H 0.5000 0.5000 0.0000
8 H 0.2500 0.7500 0.5000

(12)
Computed, not measured: an optimized crystal structure of MnTlTe2 at the GGA-PBE level of DFT.

Calculated values
**DOS at the Fermi energy**: 16.1 states/eV/cell
**Density**: 6.51 g cm⁻³
**SG**: Pna2_1, No. 33
**Raw formation energy**: 124 meV/atom

Unit cell a=7.0802 b=10.7375 c=6.9011 alpha=90.00 beta=90.00 gamma=90.00
Element x y z (fractional)
1 Te 0.1119 0.8141 0.4294
2 Te 0.5275 0.0670 0.3744
3 Te 0.3881 0.3141 0.9294
4 Te 0.8881 0.1859 0.9294
5 Te 0.6119 0.6859 0.4294
6 Te 0.4725 0.9330 0.8744
7 Te 0.0275 0.4330 0.3744
8 Te 0.9725 0.5670 0.8744
9 Tl 0.4995 0.6206 0.9143
10 Tl 0.9995 0.8794 0.9143
11 Tl 0.5005 0.3794 0.4143
12 Tl 0.0005 0.1206 0.4143
13 Mn 0.9350 0.6276 0.5317
14 Mn 0.5650 0.1276 0.0317
15 Mn 0.0650 0.3724 0.0317
16 Mn 0.4350 0.8724 0.5317